This record from the Open Quantum Materials Database describes a relaxed structure of ZrCu2TeSeS. The functional is PBE.

Structure (CIF):
```
data_ZrCu2TeSeS
_chemical_formula_sum 'Zr4 Cu8 Te4 Se4 S4'
_cell_length_a 19.971
_cell_length_b 3.941
_cell_length_c 7.262
_cell_angle_alpha 90.00
_cell_angle_beta 101.92
_cell_angle_gamma 90.00
_space_group_name_H-M_alt 'C 1 2/m 1'
_space_group_IT_number 12
_space_group_name_Hall '-C 2y'
loop_
_atom_site_label
_atom_site_type_symbol
_atom_site_fract_x
_atom_site_fract_y
_atom_site_fract_z
Zr1 Zr 0.139 0.000 0.038
Cu1 Cu 0.049 0.500 0.162
Cu2 Cu 0.209 0.000 0.424
Te1 Te 0.249 0.000 0.784
Se1 Se 0.074 0.500 0.829
S1 S 0.091 0.000 0.321
```

Values from the calculation:
Relative energy among the computed polymorphs, eV per atom: 0.009

This record from the Open Quantum Materials Database describes a relaxed structure of ZrCu2TeSeS. The functional is PBE.

Structure (CIF):
```
data_ZrCu2TeSeS
_chemical_formula_sum 'Zr4 Cu8 Te4 Se4 S4'
_cell_length_a 19.821
_cell_length_b 3.880
_cell_length_c 6.974
_cell_angle_alpha 90.00
_cell_angle_beta 99.46
_cell_angle_gamma 90.00
_space_group_name_H-M_alt 'C 1 2/m 1'
_space_group_IT_number 12
_space_group_name_Hall '-C 2y'
loop_
_atom_site_label
_atom_site_type_symbol
_atom_site_fract_x
_atom_site_fract_y
_atom_site_fract_z
Zr1 Zr 0.151 0.000 0.042
Cu1 Cu 0.052 0.500 0.153
Cu2 Cu 0.208 0.000 0.442
Te1 Te 0.076 0.500 0.788
Se1 Se 0.247 0.500 0.217
S1 S 0.093 0.000 0.324
```

Values from the calculation:
Relative energy among the computed polymorphs, eV per atom: 0.038